Record 1
Computed, not measured: an optimized crystal structure of SrErP2Pd4 at the PBE level of DFT.

Geometry as POSCAR:
```
SrErP2Pd4
1.0
4.095 0.000 0.000
0.000 4.095 0.000
0.000 0.000 9.790
Sr Er P Pd
1 1 2 4
direct
0.000 0.000 0.000 Sr
0.000 0.000 0.500 Er
0.500 0.500 0.169 P
0.500 0.500 0.831 P
0.000 0.500 0.290 Pd
0.000 0.500 0.710 Pd
0.500 0.000 0.290 Pd
0.500 0.000 0.710 Pd
```

- ΔH_f (0 K) (eV/atom) = -0.7623
- spin magnetization (μB/atom) = 0.000

=====

Record 2
Computed, not measured: an optimized crystal structure of Sr2SnGe at the PBE level of DFT.

Geometry as POSCAR:
```
Sr2SnGe
1.0
-4.399 4.399 3.471
4.399 -4.399 3.471
4.399 4.399 -3.471
Sr Sn Ge
4 2 2
direct
0.103 0.625 0.978 Sr
0.375 0.353 0.478 Sr
0.647 0.125 0.022 Sr
0.875 0.897 0.522 Sr
0.250 0.750 0.500 Sn
0.500 0.500 0.000 Sn
0.000 0.000 0.000 Ge
0.750 0.250 0.500 Ge
```

- ΔH_f (0 K) (eV/atom) = -0.1599
- spin magnetization (μB/atom) = 0.000

=====

Record 3
Computed, not measured: an optimized crystal structure of BC2 at the PBE level of DFT.

Geometry as POSCAR:
```
BC2
1.0
6.898 -1.282 0.000
6.898 1.282 0.000
-1.518 0.000 4.325
B C
4 8
direct
0.000 0.000 0.000 B
0.345 0.345 0.702 B
0.506 0.506 0.513 B
0.787 0.787 0.426 B
0.133 0.133 0.131 C
0.172 0.172 0.836 C
0.292 0.292 0.966 C
0.463 0.463 0.799 C
0.631 0.631 0.632 C
0.663 0.663 0.326 C
0.836 0.836 0.155 C
0.952 0.952 0.281 C
```

- ΔH_f (0 K) (eV/atom) = 0.3610
- energy above the lowest structure with this stoichiometry (eV per atom) = 0.121
- spin magnetization (μB/atom) = 0.000

=====

Record 4
Computed, not measured: an optimized crystal structure of MgTaP2O at the PBE level of DFT.

Geometry as POSCAR:
```
MgTaP2O
1.0
4.954 0.000 0.000
0.000 4.954 0.000
0.000 0.000 3.864
Mg Ta P O
1 1 2 1
direct
0.000 0.000 0.000 Mg
0.500 0.500 0.500 Ta
0.000 0.500 0.500 P
0.500 0.000 0.500 P
0.500 0.500 0.000 O
```

- energy above the lowest structure with this stoichiometry (eV per atom) = 0.000
- ΔE_f (raw) (eV/atom) = -0.6926
- spin magnetization (μB/atom) = 0.000

=====

Record 5
Computed, not measured: an optimized crystal structure of CuSb2P at the PBE level of DFT.

Geometry as POSCAR:
```
CuSb2P
1.0
3.910 0.000 0.000
-1.955 3.386 0.000
0.000 0.000 6.482
Cu Sb P
1 2 1
direct
0.000 0.000 0.000 Cu
0.333 0.667 0.232 Sb
0.667 0.333 0.768 Sb
0.000 0.000 0.500 P
```

- ΔE_f (raw) (eV/atom) = 0.2311
- spin magnetization (μB/atom) = 0.000

=====

Record 6
Computed, not measured: an optimized crystal structure of Sm2UPaN4 at the PBE level of DFT.

Geometry as POSCAR:
```
Sm2UPaN4
1.0
6.095 0.000 0.000
0.000 3.518 0.000
-2.023 0.000 5.761
Sm U Pa N
2 1 1 4
direct
0.000 0.000 0.000 Sm
0.000 0.500 0.500 Sm
0.500 0.000 0.500 U
0.500 0.500 0.000 Pa
0.281 0.000 0.754 N
0.282 0.500 0.266 N
0.718 0.500 0.734 N
0.719 0.000 0.246 N
```

- ΔE_f (raw) (eV/atom) = -1.5152
- spin magnetization (μB/atom) = 0.104

=====

Record 7
Computed, not measured: an optimized crystal structure of PuSc5Ru6 at the PBE level of DFT.

Geometry as POSCAR:
```
PuSc5Ru6
1.0
2.282 -6.858 0.000
2.282 6.858 0.000
0.000 0.000 6.470
Pu Sc Ru
1 5 6
direct
0.000 0.000 0.000 Pu
0.000 0.000 0.500 Sc
0.328 0.672 0.000 Sc
0.332 0.668 0.500 Sc
0.668 0.332 0.500 Sc
0.672 0.328 0.000 Sc
0.163 0.837 0.246 Ru
0.163 0.837 0.754 Ru
0.500 0.500 0.243 Ru
0.500 0.500 0.757 Ru
0.837 0.163 0.246 Ru
0.837 0.163 0.754 Ru
```

- ΔH_f (0 K) (eV/atom) = -0.5275
- spin magnetization (μB/atom) = 0.240

=====

Record 8
Computed, not measured: an optimized crystal structure of TbPrWN4 at the PBE level of DFT.

Geometry as POSCAR:
```
TbPrWN4
1.0
-1.972 1.972 6.257
1.972 -1.972 6.257
1.972 1.972 -6.257
Tb Pr W N
1 1 1 4
direct
0.000 0.000 0.000 Tb
0.292 0.292 0.000 Pr
0.640 0.640 0.000 W
0.147 0.647 0.500 N
0.483 0.483 0.000 N
0.647 0.147 0.500 N
0.820 0.820 0.000 N
```

- ΔE_f (raw) (eV/atom) = -1.0545
- spin magnetization (μB/atom) = 0.000

=====

Record 9
Computed, not measured: an optimized crystal structure of CsAsN3 at the PBE level of DFT.

Geometry as POSCAR:
```
CsAsN3
1.0
4.185 0.000 0.000
0.000 4.185 0.000
0.000 0.000 4.185
Cs As N
1 1 3
direct
0.000 0.000 0.000 Cs
0.500 0.500 0.500 As
0.000 0.500 0.500 N
0.500 0.000 0.500 N
0.500 0.500 0.000 N
```

- ΔE_f (raw) (eV/atom) = 1.6014
- spin magnetization (μB/atom) = 0.658

=====

Record 10
Computed, not measured: an optimized crystal structure of K2SnAsSe4 at the PBE level of DFT.

Geometry as POSCAR:
```
K2SnAsSe4
1.0
-4.230 4.380 6.075
4.230 -4.380 6.075
4.230 4.380 -6.075
K Sn As Se
4 2 2 8
direct
0.000 0.000 0.000 K
0.500 0.000 0.000 K
0.500 0.000 0.500 K
0.500 0.500 0.500 K
0.000 0.500 0.500 Sn
0.500 0.500 0.000 Sn
0.000 0.000 0.500 As
0.000 0.500 0.000 As
0.200 0.739 0.461 Se
0.221 0.261 0.961 Se
0.230 0.254 0.524 Se
0.230 0.706 0.976 Se
0.770 0.294 0.024 Se
0.770 0.746 0.476 Se
0.779 0.739 0.039 Se
0.800 0.261 0.539 Se
```

- ΔE_f (raw) (eV/atom) = -0.5792
- spin magnetization (μB/atom) = 0.000

=====

Record 11
Computed, not measured: an optimized crystal structure of Pr6Co2HCl3 at the PBE level of DFT.

Geometry as POSCAR:
```
Pr6Co2HCl3
1.0
3.454 -5.938 0.000
3.454 5.938 0.000
-2.329 0.000 7.509
Pr Co H Cl
6 2 1 3
direct
0.094 0.434 0.800 Pr
0.226 0.226 0.202 Pr
0.434 0.094 0.800 Pr
0.566 0.906 0.200 Pr
0.774 0.774 0.798 Pr
0.906 0.566 0.200 Pr
0.166 0.834 0.000 Co
0.834 0.166 0.000 Co
0.500 0.500 0.000 H
0.000 0.000 0.500 Cl
0.329 0.671 0.500 Cl
0.671 0.329 0.500 Cl
```

- calculated total energy (eV per atom) = -5.16
- spin magnetization (μB/atom) = 0.000

=====

Record 12
Computed, not measured: an optimized crystal structure of La6P2I3Br at the PBE level of DFT.

Geometry as POSCAR:
```
La6P2I3Br
1.0
3.719 -6.440 0.000
3.719 6.440 0.000
-2.480 0.000 7.868
La P I Br
6 2 3 1
direct
0.082 0.433 0.800 La
0.216 0.216 0.198 La
0.433 0.082 0.800 La
0.567 0.918 0.200 La
0.784 0.784 0.802 La
0.918 0.567 0.200 La
0.167 0.833 0.000 P
0.833 0.167 0.000 P
0.000 0.000 0.500 I
0.337 0.663 0.500 I
0.663 0.337 0.500 I
0.500 0.500 0.000 Br
```

- ΔE_f (raw) (eV/atom) = -1.3460
- spin magnetization (μB/atom) = 0.000